# 1
Density functional theory data (PBE) for a relaxed structure of NpAg2SbO6.

The total magnetic moment comes out at 1.977 μB per cell. For the formation energy (no corrections), the calculation gives -1.43 eV per atom. As for the space group: P4/mmm.

The structure in POSCAR format:
```
NpAg2SbO6
1.0
-1.887 2.656 -2.549
0.217 -3.958 -4.286
-5.191 -2.089 1.666
Np Ag Sb O
1 2 1 6
direct
0.645 0.000 0.000
0.144 0.500 0.000
0.144 0.000 0.500
0.645 0.500 0.500
0.645 0.257 0.257
0.645 0.257 0.743
0.145 0.500 0.500
0.145 0.000 0.000
0.645 0.743 0.743
0.645 0.743 0.257
```

# 2
Density functional theory data (PBE) for a relaxed structure of NpAgSbO.

The total magnetic moment comes out at 6.652 μB per cell. For the formation energy (no corrections), the calculation gives -1.26 eV per atom. As for the space group: P4/nmm.

The structure in POSCAR format:
```
NpAgSbO
1.0
-2.661 2.890 0.925
-2.891 -2.788 0.394
2.234 -0.977 9.483
Np Ag Sb O
2 2 2 2
direct
0.000 0.500 0.881
0.500 0.000 0.119
0.000 0.000 0.500
0.500 0.500 0.500
0.500 0.000 0.710
0.000 0.500 0.290
0.500 0.500 0.000
0.000 0.000 0.000
```

# 3
Density functional theory data (PBE) for a relaxed structure of NpScAgO6.

The total magnetic moment comes out at 0.915 μB per cell. For the formation energy (no corrections), the calculation gives -2.17 eV per atom. As for the space group: C2.

The structure in POSCAR format:
```
NpScAgO6
1.0
5.437 0.258 0.274
2.940 5.095 0.548
0.214 0.371 4.884
Np Sc Ag O
1 1 1 6
direct
0.339 0.331 0.500
0.645 0.677 0.500
0.000 0.000 0.000
0.015 0.405 0.282
0.347 0.988 0.725
0.646 0.323 0.714
0.015 0.579 0.718
0.347 0.665 0.275
0.646 0.031 0.286
```

# 4
Density functional theory data (PBE) for a relaxed structure of NpSc2AgO8.

The total magnetic moment comes out at 0.000 μB per cell. For the formation energy (no corrections), the calculation gives -2.36 eV per atom. As for the space group: C2/m.

The structure in POSCAR format:
```
NpSc2AgO8
1.0
4.889 -0.160 -0.185
-0.144 4.889 0.185
-0.249 0.249 6.683
Np Sc Ag O
1 2 1 8
direct
0.000 0.000 0.000
0.476 0.524 0.735
0.524 0.476 0.265
0.000 0.000 0.500
0.216 0.785 0.190
0.700 0.700 0.000
0.817 0.183 0.247
0.784 0.215 0.810
0.300 0.300 0.000
0.183 0.817 0.753
0.693 0.693 0.500
0.307 0.307 0.500
```

# 5
Density functional theory data (PBE) for a relaxed structure of NpAgSeO6.

The total magnetic moment comes out at 0.110 μB per cell. For the formation energy (no corrections), the calculation gives -1.35 eV per atom. As for the space group: P-31c.

The structure in POSCAR format:
```
NpAgSeO6
1.0
5.492 0.000 0.000
-2.746 4.756 0.000
0.000 0.000 10.012
Np Ag Se O
2 2 2 12
direct
0.667 0.333 0.250
0.333 0.667 0.750
0.000 0.000 0.000
0.000 0.000 0.500
0.333 0.667 0.250
0.667 0.333 0.750
0.630 0.632 0.143
0.002 0.370 0.143
0.370 0.002 0.643
0.998 0.630 0.857
0.368 0.370 0.357
0.002 0.632 0.357
0.632 0.002 0.857
0.630 0.998 0.357
0.998 0.368 0.643
0.368 0.998 0.143
0.632 0.630 0.643
0.370 0.368 0.857
```

# 6
Density functional theory data (PBE) for a relaxed structure of NpSiAgO6.

The total magnetic moment comes out at 0.000 μB per cell. For the formation energy (no corrections), the calculation gives -1.99 eV per atom. As for the space group: P-31c.

The structure in POSCAR format:
```
NpSiAgO6
1.0
5.183 0.000 0.000
-2.591 4.488 0.000
0.000 0.000 10.091
Np Si Ag O
2 2 2 12
direct
0.333 0.667 0.250
0.667 0.333 0.750
0.667 0.333 0.250
0.333 0.667 0.750
0.000 0.000 0.000
0.000 0.000 0.500
0.645 0.611 0.149
0.966 0.355 0.149
0.355 0.966 0.649
0.034 0.645 0.851
0.389 0.355 0.351
0.966 0.611 0.351
0.611 0.966 0.851
0.645 0.034 0.351
0.034 0.389 0.649
0.389 0.034 0.149
0.611 0.645 0.649
0.355 0.389 0.851
```

# 7
Density functional theory data (PBE) for a relaxed structure of SmNpAg2O6.

The total magnetic moment comes out at 0.000 μB per cell. For the formation energy (no corrections), the calculation gives -2.01 eV per atom. As for the space group: P2_1/c.

The structure in POSCAR format:
```
SmNpAg2O6
1.0
5.828 0.000 -0.040
0.000 5.958 0.000
-0.006 0.000 8.440
Sm Np Ag O
2 2 4 12
direct
0.500 0.000 0.000
0.000 0.500 0.500
0.500 0.000 0.500
0.000 0.500 0.000
0.000 0.974 0.247
0.500 0.526 0.747
0.000 0.026 0.753
0.500 0.474 0.253
0.289 0.676 0.053
0.789 0.824 0.553
0.711 0.324 0.947
0.211 0.176 0.447
0.331 0.710 0.447
0.831 0.790 0.947
0.669 0.290 0.553
0.169 0.210 0.053
0.902 0.541 0.233
0.402 0.959 0.733
0.098 0.459 0.767
0.598 0.041 0.267
```

# 8
Density functional theory data (PBE) for a relaxed structure of SrNpAgO6.

The total magnetic moment comes out at 4.127 μB per cell. For the formation energy (no corrections), the calculation gives -1.90 eV per atom. As for the space group: P-31c.

The structure in POSCAR format:
```
SrNpAgO6
1.0
5.567 0.000 0.000
-2.784 4.821 0.000
0.000 0.000 10.895
Sr Np Ag O
2 2 2 12
direct
0.000 0.000 0.000
0.000 0.000 0.500
0.667 0.333 0.250
0.333 0.667 0.750
0.333 0.667 0.250
0.667 0.333 0.750
0.654 0.624 0.144
0.971 0.346 0.144
0.346 0.971 0.644
0.029 0.654 0.856
0.376 0.346 0.356
0.971 0.624 0.356
0.624 0.971 0.856
0.654 0.029 0.356
0.029 0.376 0.644
0.376 0.029 0.144
0.624 0.654 0.644
0.346 0.376 0.856
```

Repeat the second record exactly.
Density functional theory data (PBE) for a relaxed structure of NpAgSbO.

The total magnetic moment comes out at 6.652 μB per cell. For the formation energy (no corrections), the calculation gives -1.26 eV per atom. As for the space group: P4/nmm.

The structure in POSCAR format:
```
NpAgSbO
1.0
-2.661 2.890 0.925
-2.891 -2.788 0.394
2.234 -0.977 9.483
Np Ag Sb O
2 2 2 2
direct
0.000 0.500 0.881
0.500 0.000 0.119
0.000 0.000 0.500
0.500 0.500 0.500
0.500 0.000 0.710
0.000 0.500 0.290
0.500 0.500 0.000
0.000 0.000 0.000
```